Record 1
## NaIn3Bi2 (PBE-GGA)

Data for NaIn3Bi2 after structural relaxation.

Calculated values
The value obtained for the formation energy is -0.07 eV/atom. As for the uncorrected energy: -2.95 eV/atom. The calculation puts the theoretical density at 7.116 g cm⁻³. As for the distance to the lowest polymorph of the same formula: 0 meV per atom. For the total moment, the calculation gives 0.00 μB per formula unit.

Cell and atoms, written as CIF:
```
data_NaIn3Bi2
_chemical_formula_sum 'Na2 In6 Bi4'
_cell_length_a 5.4533
_cell_length_b 8.9395
_cell_length_c 9.1239
_cell_angle_alpha 118.22
_cell_angle_beta 92.36
_cell_angle_gamma 106.86
_symmetry_space_group_name_H-M 'P -1'
_symmetry_Int_Tables_number 2
_symmetry_space_group_name_Hall '-P 1'
loop_
_atom_site_label
_atom_site_fract_x
_atom_site_fract_y
_atom_site_fract_z
Na1 0.1398 0.2652 0.1569
In1 0.0647 0.0982 0.6990
In2 0.2699 0.5481 0.9695
In3 0.3857 0.7725 0.4347
Bi1 0.2115 0.4368 0.5834
Bi2 0.4561 0.9653 0.1554
```

Record 2
## Al3TlGe (PBE-GGA)

Data for Al3TlGe after structural relaxation.

Calculated values
The value obtained for the formation energy is 0.54 eV/atom. As for the uncorrected energy: -3.10 eV/atom. The calculation puts the theoretical density at 4.776 g cm⁻³. As for the distance to the lowest polymorph of the same formula: 0 meV per atom. For the total moment, the calculation gives 0.00 μB per formula unit.

Cell and atoms, written as CIF:
```
data_Al3TlGe
_chemical_formula_sum 'Al3 Tl1 Ge1'
_cell_length_a 4.9929
_cell_length_b 4.9929
_cell_length_c 4.9929
_cell_angle_alpha 90.00
_cell_angle_beta 90.00
_cell_angle_gamma 90.00
_symmetry_space_group_name_H-M 'P m -3 m'
_symmetry_Int_Tables_number 221
_symmetry_space_group_name_Hall '-P 4 2 3'
loop_
_atom_site_label
_atom_site_fract_x
_atom_site_fract_y
_atom_site_fract_z
Al1 0.0000 0.0000 0.5000
Tl1 0.5000 0.5000 0.5000
Ge1 0.0000 0.0000 0.0000
```

Record 3
## Tb2Sm6Hg (PBE-GGA)

Data for Tb2Sm6Hg after structural relaxation.

Calculated values
The value obtained for the formation energy is -0.10 eV/atom. As for the uncorrected energy: -4.31 eV/atom. The calculation puts the theoretical density at 8.112 g cm⁻³. As for the distance to the lowest polymorph of the same formula: 0 meV per atom. For the total moment, the calculation gives 0.00 μB per formula unit.

Cell and atoms, written as CIF:
```
data_Tb2Sm6Hg
_chemical_formula_sum 'Tb2 Sm6 Hg1'
_cell_length_a 9.5482
_cell_length_b 9.5482
_cell_length_c 3.6828
_cell_angle_alpha 90.00
_cell_angle_beta 90.00
_cell_angle_gamma 120.00
_symmetry_space_group_name_H-M 'P -6 2 m'
_symmetry_Int_Tables_number 189
_symmetry_space_group_name_Hall 'P -6 -2'
loop_
_atom_site_label
_atom_site_fract_x
_atom_site_fract_y
_atom_site_fract_z
Tb1 0.3333 0.6667 0.0000
Sm1 0.0000 0.3816 0.5000
Sm2 0.0000 0.7281 0.0000
Hg1 0.0000 0.0000 0.5000
```

Record 4
## SrAl2AgAu2 (PBE-GGA)

Data for SrAl2AgAu2 after structural relaxation.

Calculated values
The value obtained for the formation energy is -0.52 eV/atom. As for the uncorrected energy: -3.61 eV/atom. The calculation puts the theoretical density at 8.247 g cm⁻³. For the total moment, the calculation gives 0.00 μB per formula unit.

Cell and atoms, written as CIF:
```
data_SrAl2AgAu2
_chemical_formula_sum 'Sr1 Al2 Ag1 Au2'
_cell_length_a 4.4569
_cell_length_b 4.4569
_cell_length_c 7.5309
_cell_angle_alpha 90.00
_cell_angle_beta 90.00
_cell_angle_gamma 120.00
_symmetry_space_group_name_H-M 'P -3 m 1'
_symmetry_Int_Tables_number 164
_symmetry_space_group_name_Hall '-P 3 2"'
loop_
_atom_site_label
_atom_site_fract_x
_atom_site_fract_y
_atom_site_fract_z
Sr1 0.0000 0.0000 0.0000
Al1 0.3333 0.6667 0.6606
Ag1 0.0000 0.0000 0.5000
Au1 0.3333 0.6667 0.2921
```

Record 5
## MnCoBr4 (PBE-GGA)

Data for MnCoBr4 after structural relaxation.

Calculated values
As for the uncorrected energy: -2.66 eV/atom. The calculation puts the theoretical density at 4.245 g cm⁻³. Its energy relative to the elements, uncorrected is 7.0 eV/f.u. As for the distance to the lowest polymorph of the same formula: 1683 meV per atom. For the total moment, the calculation gives 2.47 μB per formula unit.

Cell and atoms, written as CIF:
```
data_MnCoBr4
_chemical_formula_sum 'Mn4 Co4 Br16'
_cell_length_a 8.7859
_cell_length_b 8.7859
_cell_length_c 8.7859
_cell_angle_alpha 90.00
_cell_angle_beta 90.00
_cell_angle_gamma 90.00
_symmetry_space_group_name_H-M 'F -4 3 m'
_symmetry_Int_Tables_number 216
_symmetry_space_group_name_Hall 'F -4 2 3'
loop_
_atom_site_label
_atom_site_fract_x
_atom_site_fract_y
_atom_site_fract_z
Mn1 0.0000 0.0000 0.0000
Co1 0.2500 0.2500 0.2500
Br1 0.1246 0.1246 0.6246
```

Record 6
## Ba2ErAl3Ga12 (PBE-GGA)

Data for Ba2ErAl3Ga12 after structural relaxation.

Calculated values
The value obtained for the formation energy is -0.13 eV/atom. As for the uncorrected energy: -3.23 eV/atom. The calculation puts the theoretical density at 5.394 g cm⁻³. For the total moment, the calculation gives 0.00 μB per formula unit.

Cell and atoms, written as CIF:
```
data_Ba2ErAl3Ga12
_chemical_formula_sum 'Ba6 Er3 Al9 Ga36'
_cell_length_a 6.8434
_cell_length_b 6.8434
_cell_length_c 30.9591
_cell_angle_alpha 90.00
_cell_angle_beta 90.00
_cell_angle_gamma 120.00
_symmetry_space_group_name_H-M 'R -3 m'
_symmetry_Int_Tables_number 166
_symmetry_space_group_name_Hall '-R 3 2"'
loop_
_atom_site_label
_atom_site_fract_x
_atom_site_fract_y
_atom_site_fract_z
Ba1 0.0000 0.0000 0.1452
Er1 0.0000 0.0000 0.5000
Al1 0.0000 0.5000 0.0000
Ga1 0.0487 0.5244 0.0914
Ga2 0.0649 0.5324 0.6207
```

Record 7
## Pa3Se2S (PBE-GGA)

Data for Pa3Se2S after structural relaxation.

Calculated values
As for the uncorrected energy: -7.93 eV/atom. The calculation puts the theoretical density at 10.748 g cm⁻³. Its energy relative to the elements, uncorrected is -8.0 eV/f.u. As for the distance to the lowest polymorph of the same formula: 0 meV per atom. For the total moment, the calculation gives 0.06 μB per formula unit.

Cell and atoms, written as CIF:
```
data_Pa3Se2S
_chemical_formula_sum 'Pa12 Se8 S4'
_cell_length_a 7.2470
_cell_length_b 12.1165
_cell_length_c 6.6103
_cell_angle_alpha 90.00
_cell_angle_beta 109.92
_cell_angle_gamma 90.00
_symmetry_space_group_name_H-M 'C 1 2/c 1'
_symmetry_Int_Tables_number 15
_symmetry_space_group_name_Hall '-C 2yc'
loop_
_atom_site_label
_atom_site_fract_x
_atom_site_fract_y
_atom_site_fract_z
Pa1 0.2246 0.0773 0.4907
Pa2 0.2500 0.2500 0.0000
Se1 0.0000 0.2610 0.2500
Se2 0.0000 0.4198 0.7500
S1 0.0000 0.0913 0.7500
```

Record 8
## Na3PdPb (PBE-GGA)

Data for Na3PdPb after structural relaxation.

Calculated values
The value obtained for the formation energy is -0.11 eV/atom. As for the uncorrected energy: -2.68 eV/atom. The calculation puts the theoretical density at 4.446 g cm⁻³. As for the distance to the lowest polymorph of the same formula: 21 meV per atom. For the total moment, the calculation gives 0.00 μB per formula unit.

Cell and atoms, written as CIF:
```
data_Na3PdPb
_chemical_formula_sum 'Na24 Pd8 Pb8'
_cell_length_a 14.4485
_cell_length_b 13.1232
_cell_length_c 6.2848
_cell_angle_alpha 90.00
_cell_angle_beta 106.42
_cell_angle_gamma 90.00
_symmetry_space_group_name_H-M 'C 1 2/c 1'
_symmetry_Int_Tables_number 15
_symmetry_space_group_name_Hall '-C 2yc'
loop_
_atom_site_label
_atom_site_fract_x
_atom_site_fract_y
_atom_site_fract_z
Na1 0.1082 0.0513 0.4877
Na2 0.1090 0.4290 0.1578
Na3 0.1753 0.1910 0.1217
Pd1 0.0000 0.1522 0.7500
Pd2 0.0000 0.2295 0.2500
Pb1 0.0979 0.3160 0.6422
```

Record 9
## DyY2Er5Sc (PBE-GGA)

Data for DyY2Er5Sc after structural relaxation.

Calculated values
The value obtained for the formation energy is 0.17 eV/atom. As for the uncorrected energy: -5.02 eV/atom. The calculation puts the theoretical density at 7.250 g cm⁻³. For the total moment, the calculation gives 0.00 μB per formula unit.

Cell and atoms, written as CIF:
```
data_DyY2Er5Sc
_chemical_formula_sum 'Dy4 Y8 Er20 Sc4'
_cell_length_a 5.5196
_cell_length_b 19.6117
_cell_length_c 10.3390
_cell_angle_alpha 90.00
_cell_angle_beta 90.00
_cell_angle_gamma 90.00
_symmetry_space_group_name_H-M 'C m c 21'
_symmetry_Int_Tables_number 36
_symmetry_space_group_name_Hall 'C 2c -2'
loop_
_atom_site_label
_atom_site_fract_x
_atom_site_fract_y
_atom_site_fract_z
Dy1 0.0000 0.0887 0.0000
Y1 0.0000 0.3869 0.2785
Y2 0.0000 0.3890 0.8577
Er1 0.0000 0.0186 0.2819
Er2 0.0000 0.1199 0.5637
Er3 0.0000 0.2004 0.2477
Er4 0.0000 0.2225 0.8614
Er5 0.0000 0.4808 0.5627
Sc1 0.0000 0.3031 0.5569
```

Record 10
## DyErCo2 (PBE-GGA)

Data for DyErCo2 after structural relaxation.

Calculated values
The value obtained for the formation energy is -0.17 eV/atom. As for the uncorrected energy: -6.02 eV/atom. The calculation puts the theoretical density at 10.135 g cm⁻³. As for the distance to the lowest polymorph of the same formula: 53 meV per atom. For the total moment, the calculation gives 0.75 μB per formula unit.

Cell and atoms, written as CIF:
```
data_DyErCo2
_chemical_formula_sum 'Dy1 Er1 Co2'
_cell_length_a 4.6916
_cell_length_b 4.6916
_cell_length_c 3.3318
_cell_angle_alpha 90.00
_cell_angle_beta 90.00
_cell_angle_gamma 90.00
_symmetry_space_group_name_H-M 'P 4/m m m'
_symmetry_Int_Tables_number 123
_symmetry_space_group_name_Hall '-P 4 2'
loop_
_atom_site_label
_atom_site_fract_x
_atom_site_fract_y
_atom_site_fract_z
Dy1 0.0000 0.0000 0.0000
Er1 0.5000 0.5000 0.0000
Co1 0.0000 0.5000 0.5000
```

Record 11
## NaBrO (PBE-GGA)

Data for NaBrO after structural relaxation.

Calculated values
As for the uncorrected energy: -3.61 eV/atom. The calculation puts the theoretical density at 2.108 g cm⁻³. Its energy relative to the elements, uncorrected is -2.9 eV/f.u. As for the distance to the lowest polymorph of the same formula: 0 meV per atom. For the total moment, the calculation gives 1.00 μB per formula unit.

Cell and atoms, written as CIF:
```
data_NaBrO
_chemical_formula_sum 'Na4 Br4 O4'
_cell_length_a 5.1609
_cell_length_b 5.5567
_cell_length_c 13.0628
_cell_angle_alpha 90.00
_cell_angle_beta 90.00
_cell_angle_gamma 90.00
_symmetry_space_group_name_H-M 'I m m m'
_symmetry_Int_Tables_number 71
_symmetry_space_group_name_Hall '-I 2 2'
loop_
_atom_site_label
_atom_site_fract_x
_atom_site_fract_y
_atom_site_fract_z
Na1 0.0000 0.0000 0.2286
Br1 0.0000 0.5000 0.1734
O1 0.1195 0.5000 0.5000
```

Record 12
## Sr2LaCr (PBE-GGA)

Data for Sr2LaCr after structural relaxation.

Calculated values
The value obtained for the formation energy is 0.59 eV/atom. As for the uncorrected energy: -3.89 eV/atom. The calculation puts the theoretical density at 4.135 g cm⁻³. As for the distance to the lowest polymorph of the same formula: 259 meV per atom. For the total moment, the calculation gives 4.12 μB per formula unit.

Cell and atoms, written as CIF:
```
data_Sr2LaCr
_chemical_formula_sum 'Sr8 La4 Cr4'
_cell_length_a 8.3785
_cell_length_b 8.3785
_cell_length_c 8.3785
_cell_angle_alpha 90.00
_cell_angle_beta 90.00
_cell_angle_gamma 90.00
_symmetry_space_group_name_H-M 'F m -3 m'
_symmetry_Int_Tables_number 225
_symmetry_space_group_name_Hall '-F 4 2 3'
loop_
_atom_site_label
_atom_site_fract_x
_atom_site_fract_y
_atom_site_fract_z
Sr1 0.2500 0.2500 0.2500
La1 0.0000 0.0000 0.0000
Cr1 0.0000 0.0000 0.5000
```

Question: The highest uncorrected energy belongs to which entry?
Answer: MnCoBr4

Question: The highest total moment belongs to which entry?
Answer: Sr2LaCr

Question: The highest uncorrected energy belongs to which entry?
Answer: MnCoBr4

Question: uncorrected energy of number 3 (Tb2Sm6Hg)?
Answer: -4.31 eV/atom